1.
AsRu2S | PBE | relaxed

Cell lengths 4.303, 4.303, 4.303 Å; angles 60.00, 60.00, 60.00 degrees
Fractional coordinates of all 4 atoms:
S: 0.000 0.000 0.000
As: 0.500 0.500 0.500
Ru: 0.750 0.750 0.750
Ru: 0.250 0.250 0.250

SG: No. 225

2.
Sb2AsRuS | PBE | relaxed

Cell lengths 5.204, 4.579, 5.204 Å; angles 90.00, 90.00, 90.00 degrees
Fractional coordinates of all 5 atoms:
Sb: 0.000 0.000 0.500
S: 0.500 0.500 0.500
Ru: 0.000 0.000 0.000
As: 0.000 0.500 0.000
Sb: 0.500 0.000 0.000

SG: No. 123

3.
As2RuSeS | PBE | relaxed

Cell lengths 4.665, 4.665, 4.632 Å; angles 90.00, 90.00, 90.00 degrees
Fractional coordinates of all 5 atoms:
As: 0.000 0.500 0.000
S: 0.000 0.000 0.000
Ru: 0.500 0.500 0.500
Se: 0.000 0.000 0.500
As: 0.500 0.000 0.000

SG: No. 123

4.
As2RuSeS | PBE | relaxed

Cell lengths 4.808, 4.808, 4.737 Å; angles 90.00, 90.00, 90.00 degrees
Fractional coordinates of all 5 atoms:
Se: 0.000 0.000 0.500
As: 0.500 0.000 0.000
S: 0.500 0.500 0.500
Ru: 0.000 0.000 0.000
As: 0.000 0.500 0.000

SG: No. 123

5.
Th6AsRu2S3 | PBE | relaxed

Cell lengths 7.157, 7.157, 7.249 Å; angles 99.53, 99.53, 119.95 degrees
Fractional coordinates of all 12 atoms:
Ru: 0.668 0.332 0.000
Th: 0.430 0.081 0.240
S: 0.843 0.157 0.500
Th: 0.919 0.570 0.760
Th: 0.570 0.919 0.760
Th: 0.081 0.430 0.240
S: 0.500 0.500 0.500
S: 0.157 0.843 0.500
As: 0.000 0.000 0.000
Th: 0.271 0.271 0.764
Th: 0.729 0.729 0.236
Ru: 0.332 0.668 0.000

SG: No. 12

6.
Th6AsRu3S2 | PBE | relaxed

Cell lengths 4.058, 8.585, 9.482 Å; angles 107.24, 102.36, 90.00 degrees
Fractional coordinates of all 12 atoms:
Ru: 0.500 0.500 0.000
Th: 0.338 0.403 0.677
Th: 0.005 0.736 0.010
S: 0.168 0.336 0.336
Th: 0.328 0.930 0.655
Ru: 0.168 0.831 0.336
Th: 0.672 0.070 0.345
S: 0.832 0.664 0.664
Th: 0.662 0.597 0.323
Ru: 0.832 0.169 0.664
As: 0.500 0.000 0.000
Th: 0.995 0.264 0.990

SG: No. 12

7.
ThAsRuS | PBE | relaxed

Cell lengths 4.360, 4.360, 8.530 Å; angles 90.00, 90.00, 90.00 degrees
Fractional coordinates of all 8 atoms:
As: 0.000 0.500 0.853
Ru: 0.500 0.500 0.000
Th: 0.500 0.000 0.705
Th: 0.000 0.500 0.295
S: 0.000 0.000 0.500
Ru: 0.000 0.000 0.000
S: 0.500 0.500 0.500
As: 0.500 0.000 0.147

SG: No. 129

8.
SbAsRu2 | PBE | relaxed

Cell lengths 6.002, 6.002, 6.002 Å; angles 147.40, 143.92, 49.41 degrees
Fractional coordinates of all 4 atoms:
As: 0.212 0.712 0.500
Ru: 0.779 0.279 0.500
Ru: 0.050 0.050 0.000
Sb: 0.458 0.458 0.000

SG: No. 44

| no. | formation energy (no corrections) (meV/atom) |
| --- | --- |
| 1 | 138 |
| 2 | 445 |
| 3 | 1125 |
| 4 | 646 |
| 5 | -1263 |
| 6 | -1032 |
| 7 | -1149 |
| 8 | 13 |